<i>
An optimized crystal structure of CaOs3. Source: Alexandria via LeMat-Bulk, functional PBE.

```
4
Lattice="2.791 0.000 0.000 0.000 4.498 0.000 -1.178 0.000 5.350" Properties=species:S:1:pos:R:3 pbc="T T T"
Ca 0.000 0.000 0.000
Os 0.071 2.249 3.824
Os 0.807 0.000 2.675
Os 1.543 2.249 1.526
```

Properties
Magnetic moment   0.00 μB/atom
Crystal system   monoclinic
Calculated volume   16.792 A^3/atom
Space group   P2/m, No. 10
ρ   15.1 g/cm3


<ii>
An optimized crystal structure of CaOs3. Source: Alexandria via LeMat-Bulk, functional PBE.

```
4
Lattice="-2.057 2.057 3.831 2.057 -2.057 3.831 2.057 2.057 -3.831" Properties=species:S:1:pos:R:3 pbc="T T T"
Ca 0.000 0.000 0.000
Os 2.057 0.000 1.916
Os 0.000 0.000 3.831
Os 0.000 2.057 1.916
```

Properties
Magnetic moment   0.00 μB/atom
Crystal system   tetragonal
Calculated volume   16.215 A^3/atom
Space group   I4/mmm, No. 139
ρ   15.6 g/cm3


<iii>
An optimized crystal structure of CaOs3. Source: Alexandria via LeMat-Bulk, functional PBE.

```
8
Lattice="5.748 0.000 0.000 -2.874 4.978 0.000 0.000 0.000 4.584" Properties=species:S:1:pos:R:3 pbc="T T T"
Ca 0.000 3.319 1.146
Ca 2.874 1.659 3.438
Os 0.000 1.604 3.438
Os -1.485 4.176 3.438
Os 1.389 0.802 1.146
Os 1.485 4.176 3.438
Os 4.360 0.802 1.146
Os 2.874 3.375 1.146
```

Properties
Magnetic moment   0.00 μB/atom
Crystal system   hexagonal
Calculated volume   16.396 A^3/atom
Space group   P6_3/mmc, No. 194
ρ   15.5 g/cm3


List of relative energies, unit meV per atom: <i> 0; <ii> 129; <iii> 149


<i>
An optimized crystal structure of CaOs3. Source: Alexandria via LeMat-Bulk, functional PBE.

```
4
Lattice="-1.401 4.757 2.445 1.401 -4.757 2.445 1.401 4.757 -2.445" Properties=species:S:1:pos:R:3 pbc="T T T"
Ca 0.000 0.000 0.000
Os 1.401 2.609 0.598
Os 1.401 0.000 2.357
Os 0.000 2.148 3.042
```

Properties
Magnetic moment   0.00 μB/atom
Crystal system   orthorhombic
Calculated volume   16.290 A^3/atom
Space group   Imm2, No. 44
ρ   15.6 g/cm3


<ii>
An optimized crystal structure of CaOs3. Source: Alexandria via LeMat-Bulk, functional PBE.

```
4
Lattice="2.783 0.000 0.000 0.000 3.758 0.000 0.000 0.000 6.723" Properties=species:S:1:pos:R:3 pbc="T T T"
Ca 0.000 0.000 0.000
Os 0.000 0.000 3.361
Os 1.392 1.879 2.066
Os 1.392 1.879 4.657
```

Properties
Magnetic moment   0.00 μB/atom
Crystal system   orthorhombic
Calculated volume   17.580 A^3/atom
Space group   Pmmm, No. 47
ρ   14.4 g/cm3


List of relative energies, unit meV per atom: <i> 0; <ii> 49


<i>
An optimized crystal structure of Ca3Os2. Source: Alexandria via LeMat-Bulk, functional PBE.

```
10
Lattice="0.000 11.363 1.567 6.698 0.000 1.567 6.698 11.363 0.000" Properties=species:S:1:pos:R:3 pbc="T T T"
Ca 0.000 0.000 0.000
Ca 3.349 5.681 0.783
Ca 8.883 8.886 1.720
Ca 12.232 19.521 2.504
Ca 4.513 13.840 1.720
Ca 7.862 14.567 2.504
Os 9.307 12.019 1.476
Os 12.656 16.388 2.260
Os 4.089 10.707 1.476
Os 7.438 17.700 2.260
```

Properties
Magnetic moment   0.00 μB/atom
Crystal system   orthorhombic
Calculated volume   23.847 A^3/atom
Space group   Fdd2, No. 43
ρ   7.0 g/cm3


<ii>
An optimized crystal structure of Ca3Os2. Source: Alexandria via LeMat-Bulk, functional PBE.

```
5
Lattice="1.615 0.932 12.409 -1.615 0.932 12.409 0.000 -1.864 12.409" Properties=species:S:1:pos:R:3 pbc="T T T"
Ca 0.000 0.000 0.000
Ca 0.000 0.000 7.983
Ca 0.000 0.000 29.244
Os 0.000 0.000 14.694
Os 0.000 0.000 22.532
```

Properties
Magnetic moment   0.06 μB/atom
Crystal system   trigonal
Calculated volume   22.411 A^3/atom
Space group   R-3m, No. 166
ρ   7.4 g/cm3


List of relative energies, unit meV per atom: <i> 0; <ii> 362


<i>
An optimized crystal structure of Ca4Os. Source: Alexandria via LeMat-Bulk, functional PBE.

```
5
Lattice="5.612 0.000 0.000 0.000 5.612 0.000 0.000 0.000 5.612" Properties=species:S:1:pos:R:3 pbc="T T T"
Ca 0.000 0.000 0.000
Ca 0.000 2.806 2.806
Ca 2.806 0.000 2.806
Ca 2.806 2.806 0.000
Os 2.806 2.806 2.806
```

Properties
Magnetic moment   0.00 μB/atom
Crystal system   cubic
Calculated volume   35.350 A^3/atom
Space group   Pm-3m, No. 221
ρ   3.3 g/cm3


<ii>
An optimized crystal structure of Ca4Os. Source: Alexandria via LeMat-Bulk, functional PBE.

```
5
Lattice="-3.471 3.471 3.471 3.471 -3.471 3.471 3.471 3.471 -3.471" Properties=species:S:1:pos:R:3 pbc="T T T"
Ca 1.735 1.735 -1.735
Ca 1.735 -1.735 1.735
Ca -1.735 1.735 1.735
Ca 1.735 1.735 1.735
Os 0.000 0.000 0.000
```

Properties
Magnetic moment   0.00 μB/atom
Crystal system   cubic
Calculated volume   33.442 A^3/atom
Space group   Im-3m, No. 229
ρ   3.5 g/cm3


List of relative energies, unit meV per atom: <i> 0; <ii> 60


<i>
An optimized crystal structure of Ca5Os3. Source: Alexandria via LeMat-Bulk, functional PBE.

```
8
Lattice="4.960 -5.172 0.000 4.960 5.172 0.000 0.000 0.000 3.976" Properties=species:S:1:pos:R:3 pbc="T T T"
Ca 0.000 0.000 0.000
Ca 2.480 2.586 0.000
Ca 4.960 2.347 1.988
Ca 2.480 -2.586 0.000
Ca 4.960 -2.347 1.988
Os 3.348 0.000 1.988
Os 4.960 0.000 0.000
Os 6.572 0.000 1.988
```

Properties
Magnetic moment   0.13 μB/atom
Crystal system   orthorhombic
Calculated volume   25.502 A^3/atom
Space group   Cmmm, No. 65
ρ   6.3 g/cm3


<ii>
An optimized crystal structure of Ca5Os3. Source: Alexandria via LeMat-Bulk, functional PBE.

```
16
Lattice="9.516 0.000 0.000 -4.758 8.241 0.000 0.000 0.000 5.070" Properties=species:S:1:pos:R:3 pbc="T T T"
Ca -1.212 2.099 1.267
Ca -3.546 6.142 3.802
Ca 2.423 0.000 1.267
Ca 1.212 2.099 3.802
Ca 0.000 5.494 0.000
Ca 0.000 5.494 2.535
Ca 4.758 2.747 0.000
Ca 4.758 2.747 2.535
Ca 7.092 0.000 3.802
Ca 3.546 6.142 1.267
Os -2.176 3.770 3.802
Os -2.581 4.471 1.267
Os 4.353 0.000 3.802
Os 2.176 3.770 1.267
Os 5.163 0.000 1.267
Os 2.581 4.471 3.802
```

Properties
Magnetic moment   0.00 μB/atom
Crystal system   hexagonal
Calculated volume   24.847 A^3/atom
Space group   P6_3/mcm, No. 193
ρ   6.4 g/cm3


List of relative energies, unit meV per atom: <i> 77; <ii> 0


<i>
An optimized crystal structure of CaPOs3. Source: Alexandria via LeMat-Bulk, functional PBE.

```
5
Lattice="4.445 0.000 0.000 0.000 4.445 0.000 0.000 0.000 4.445" Properties=species:S:1:pos:R:3 pbc="T T T"
Ca 0.000 0.000 0.000
P 2.223 2.223 2.223
Os 0.000 2.223 2.223
Os 2.223 0.000 2.223
Os 2.223 2.223 0.000
```

Properties
Magnetic moment   0.00 μB/atom
Crystal system   cubic
Calculated volume   17.566 A^3/atom
Space group   Pm-3m, No. 221
ρ   12.1 g/cm3


<ii>
An optimized crystal structure of CaPOs3. Source: Alexandria via LeMat-Bulk, functional PBE.

```
5
Lattice="4.657 0.000 0.000 0.000 4.657 0.000 0.000 0.000 4.657" Properties=species:S:1:pos:R:3 pbc="T T T"
Ca 0.000 0.000 0.000
P 2.329 2.329 2.329
Os 0.000 0.000 2.329
Os 0.000 2.329 0.000
Os 2.329 0.000 0.000
```

Properties
Magnetic moment   0.17 μB/atom
Crystal system   cubic
Calculated volume   20.203 A^3/atom
Space group   Pm-3m, No. 221
ρ   10.5 g/cm3


List of relative energies, unit meV per atom: <i> 0; <ii> 2948


<i>
An optimized crystal structure of Ca2P2Os. Source: Alexandria via LeMat-Bulk, functional PBE.

```
5
Lattice="-2.235 2.235 5.313 2.235 -2.235 5.313 2.235 2.235 -5.313" Properties=species:S:1:pos:R:3 pbc="T T T"
Ca 2.235 0.000 2.656
Ca 0.000 2.235 2.656
P 0.000 0.000 1.016
P 0.000 0.000 9.610
Os 0.000 0.000 5.313
```

Properties
Magnetic moment   0.00 μB/atom
Crystal system   tetragonal
Calculated volume   21.232 A^3/atom
Space group   I4/mmm, No. 139
ρ   5.2 g/cm3


<ii>
An optimized crystal structure of Ca2P2Os. Source: Alexandria via LeMat-Bulk, functional PBE.

```
10
Lattice="6.286 0.000 0.000 0.000 6.286 0.000 0.000 0.000 4.568" Properties=species:S:1:pos:R:3 pbc="T T T"
Ca 1.131 2.012 0.000
Ca 2.012 5.155 0.000
Ca 4.274 1.131 0.000
Ca 5.155 4.274 0.000
P 0.833 3.977 2.284
P 2.310 0.833 2.284
P 3.977 5.453 2.284
P 5.453 2.310 2.284
Os 0.000 0.000 2.284
Os 3.143 3.143 2.284
```

Properties
Magnetic moment   0.00 μB/atom
Crystal system   tetragonal
Calculated volume   18.050 A^3/atom
Space group   P4/mbm, No. 127
ρ   6.1 g/cm3


List of relative energies, unit meV per atom: <i> 1246; <ii> 0


<i>
An optimized crystal structure of CaP2OsS. Source: Alexandria via LeMat-Bulk, functional PBE.

```
5
Lattice="5.129 0.000 0.000 0.000 5.129 0.000 0.000 0.000 4.910" Properties=species:S:1:pos:R:3 pbc="T T T"
Ca 0.000 0.000 0.000
P 0.000 2.564 0.000
P 2.564 0.000 0.000
Os 2.564 2.564 2.455
S 0.000 0.000 2.455
```

Properties
Magnetic moment   0.58 μB/atom
Crystal system   tetragonal
Calculated volume   25.829 A^3/atom
Space group   P4/mmm, No. 123
ρ   4.2 g/cm3


<ii>
An optimized crystal structure of CaP2OsS. Source: Alexandria via LeMat-Bulk, functional PBE.

```
5
Lattice="4.463 0.000 0.000 0.000 4.463 0.000 0.000 0.000 5.489" Properties=species:S:1:pos:R:3 pbc="T T T"
Ca 0.000 0.000 0.000
P 0.000 2.232 2.745
P 2.232 0.000 2.745
Os 2.232 2.232 2.745
S 2.232 2.232 0.000
```

Properties
Magnetic moment   0.00 μB/atom
Crystal system   tetragonal
Calculated volume   21.869 A^3/atom
Space group   P4/mmm, No. 123
ρ   4.9 g/cm3


List of relative energies, unit meV per atom: <i> 2049; <ii> 0